1.
Compound: Pm8CoNi2
Source: Alexandria
Functional: PBE
Structure: optimized geometry

Cell lengths 7.3942, 7.3942, 6.4293 Å; angles 102.81, 102.81, 107.29 degrees
Last column: nearest neighbours and their distance in Å.
Sites, in units of the cell vectors:
Pm (0.0000, 0.0000, 0.0000)  2 Ni 2.86
Pm (0.0092, 0.2858, 0.5923)  2 Ni 2.73-2.94, 1 Co 2.95
Pm (0.2009, 0.5338, 0.2326)  1 Co 2.61
Pm (0.2858, 0.0092, 0.5923)  2 Ni 2.73-2.94, 1 Co 2.95
Pm (0.4418, 0.7236, 0.8640)  2 Ni 2.79-3.00, 1 Co 2.81
Pm (0.5338, 0.2009, 0.2326)  1 Co 2.61
Pm (0.7236, 0.4418, 0.8640)  2 Ni 2.79-3.00, 1 Co 2.81
Pm (0.7322, 0.7322, 0.4163)  2 Ni 2.82
Co (0.3644, 0.3644, 0.9676)  4 Pm 2.61-2.81
Ni (0.0422, 0.6746, 0.7053)  6 Pm 2.73-3.00
Ni (0.6746, 0.0422, 0.7053)  6 Pm 2.73-3.00

Its space group is Cm, No. 8. The formation energy is -0.04 eV per atom.

***

2.
Compound: SmTl2
Source: Alexandria
Functional: PBE
Structure: optimized geometry

Cell lengths 6.2384, 6.2384, 6.2384 Å; angles 60.00, 60.00, 60.00 degrees
Last column: nearest neighbours and their distance in Å.
Sites, in units of the cell vectors:
Sm (0.1250, 0.1250, 0.1250)  12 Tl 3.66, 4 Sm 3.82
Sm (0.8750, 0.8750, 0.8750)  12 Tl 3.66, 4 Sm 3.82
Tl (0.0000, 0.5000, 0.5000)  6 Tl 3.12
Tl (0.5000, 0.0000, 0.5000)  6 Tl 3.12
Tl (0.5000, 0.5000, 0.0000)  6 Tl 3.12
Tl (0.5000, 0.5000, 0.5000)  6 Tl 3.12

Its space group is Fd-3m, No. 227. The formation energy is -0.11 eV per atom.

***

3.
Compound: MgZn3Se
Source: Alexandria
Functional: PBE
Structure: optimized geometry

Cell lengths 5.8190, 5.8190, 7.4283 Å; angles 90.00, 90.00, 120.00 degrees
Last column: nearest neighbours and their distance in Å.
Sites, in units of the cell vectors:
Mg (0.3333, 0.6667, 0.2500)  6 Zn 2.92
Mg (0.6667, 0.3333, 0.7500)  6 Zn 2.92
Zn (0.1889, 0.3779, 0.7500)  2 Zn 2.52, 2 Se 2.66
Zn (0.1889, 0.8111, 0.7500)  2 Zn 2.52, 2 Se 2.66
Zn (0.3779, 0.1889, 0.2500)  2 Zn 2.52, 2 Se 2.66
Zn (0.6221, 0.8111, 0.7500)  2 Zn 2.52, 2 Se 2.66
Zn (0.8111, 0.1889, 0.2500)  2 Zn 2.52, 2 Se 2.66
Zn (0.8111, 0.6221, 0.2500)  2 Zn 2.52, 2 Se 2.66
Se (0.0000, 0.0000, 0.0000)  6 Zn 2.66
Se (0.0000, 0.0000, 0.5000)  6 Zn 2.66

Its space group is P6_3/mmc, No. 194. The raw formation energy is -19 meV/atom.

***

4.
Compound: SrBS2
Source: Alexandria
Functional: PBE
Structure: optimized geometry

Cell lengths 6.8185, 8.7300, 8.1679 Å; angles 90.00, 119.26, 90.00 degrees
Last column: nearest neighbours and their distance in Å.
Sites, in units of the cell vectors:
Sr (0.2282, 0.1328, 0.2647)  6 S 2.93-3.18, 2 B 3.02-3.15
Sr (0.2282, 0.3672, 0.7647)  6 S 2.93-3.18, 2 B 3.02-3.15
Sr (0.7718, 0.6328, 0.2353)  6 S 2.93-3.18, 2 B 3.02-3.15
Sr (0.7718, 0.8672, 0.7353)  6 S 2.93-3.18, 2 B 3.02-3.15
B (0.3796, 0.6999, 0.7263)  2 S 1.77
B (0.3796, 0.8001, 0.2263)  2 S 1.77
B (0.6204, 0.1999, 0.7737)  2 S 1.77
B (0.6204, 0.3001, 0.2737)  2 S 1.77
S (0.0894, 0.6867, 0.6554)  1 B 1.77
S (0.0894, 0.8133, 0.1554)  1 B 1.77
S (0.4018, 0.0633, 0.6966)  1 B 1.77
S (0.4018, 0.4367, 0.1966)  1 B 1.77
S (0.5982, 0.5633, 0.8034)  1 B 1.77
S (0.5982, 0.9367, 0.3034)  1 B 1.77
S (0.9106, 0.1867, 0.8446)  1 B 1.77
S (0.9106, 0.3133, 0.3446)  1 B 1.77

Its space group is P2_1/c, No. 14. The raw formation energy is -827 meV/atom.

***

5.
Compound: CsTbTeO4
Source: Alexandria
Functional: PBE
Structure: optimized geometry

Cell lengths 5.9887, 6.2601, 8.2660 Å; angles 90.00, 104.54, 90.00 degrees
Last column: nearest neighbours and their distance in Å.
Sites, in units of the cell vectors:
Cs (0.1163, 0.2500, 0.1361)  6 O 3.13-3.24
Cs (0.8837, 0.7500, 0.8639)  6 O 3.13-3.24
Tb (0.1611, 0.7500, 0.4644)  6 O 2.24-2.42
Tb (0.8389, 0.2500, 0.5356)  6 O 2.24-2.42
Te (0.4038, 0.2500, 0.7213)  4 O 1.92-2.07
Te (0.5962, 0.7500, 0.2787)  4 O 1.92-2.07
O (0.1631, 0.0178, 0.6523)  1 Te 2.03
O (0.1631, 0.4822, 0.6523)  1 Te 2.03
O (0.2396, 0.7500, 0.2136)  1 Te 2.07, 1 Tb 2.24
O (0.4420, 0.2500, 0.4979)  1 Te 1.92
O (0.5580, 0.7500, 0.5021)  1 Te 1.92
O (0.7604, 0.2500, 0.7864)  1 Te 2.07, 1 Tb 2.24
O (0.8369, 0.5178, 0.3477)  1 Te 2.03
O (0.8369, 0.9822, 0.3477)  1 Te 2.03

Its space group is P2_1/m, No. 11. The raw formation energy is -2049 meV/atom.

***

6.
Compound: Pm2Sn3Ir2
Source: Alexandria
Functional: PBE
Structure: optimized geometry

Cell lengths 10.7196, 4.4060, 7.4256 Å; angles 90.00, 114.10, 90.00 degrees
Last column: nearest neighbours and their distance in Å.
Sites, in units of the cell vectors:
Pm (0.1508, 0.0000, 0.2938)  4 Ir 3.13-3.14, 5 Sn 3.31-3.44
Pm (0.3492, 0.5000, 0.7062)  4 Ir 3.13-3.14, 5 Sn 3.31-3.44
Pm (0.6508, 0.5000, 0.2938)  4 Ir 3.13-3.14, 5 Sn 3.31-3.44
Pm (0.8492, 0.0000, 0.7062)  4 Ir 3.13-3.14, 5 Sn 3.31-3.44
Sn (0.0000, 0.5000, 0.5000)  4 Ir 2.78, 2 Sn 3.03
Sn (0.1250, 0.5000, 0.9470)  3 Ir 2.73-2.86, 1 Sn 3.03
Sn (0.3750, 0.0000, 0.0530)  3 Ir 2.73-2.86, 1 Sn 3.03
Sn (0.5000, 0.0000, 0.5000)  4 Ir 2.78, 2 Sn 3.03
Sn (0.6250, 0.0000, 0.9470)  3 Ir 2.73-2.86, 1 Sn 3.03
Sn (0.8750, 0.5000, 0.0530)  3 Ir 2.73-2.86, 1 Sn 3.03
Ir (0.1429, 0.0000, 0.7124)  5 Sn 2.73-2.86
Ir (0.3571, 0.5000, 0.2876)  5 Sn 2.73-2.86
Ir (0.6429, 0.5000, 0.7124)  5 Sn 2.73-2.86
Ir (0.8571, 0.0000, 0.2876)  5 Sn 2.73-2.86

Its space group is C2/m, No. 12. The formation energy is -0.63 eV per atom.

***

These records have volume values of 311 86 109 106 150 160 Å³/f.u., in the order they appear.